No. 1
## VGe2S6 (PBE-GGA)

Data for a relaxed VGe2S6 crystal.

Cell and atoms, written as CIF:
```
data_VGe2S6
_chemical_formula_sum 'V2 Ge4 S12'
_space_group_name_H-M_alt 'P 1'
_space_group_IT_number 1
_cell_length_a 6.281
_cell_length_b 7.923
_cell_length_c 7.923
_cell_angle_alpha 84.59
_cell_angle_beta 81.76
_cell_angle_gamma 81.76
loop_
_space_group_symop_operation_xyz
'x,y,z'
loop_
_atom_site_label
_atom_site_fract_x
_atom_site_fract_y
_atom_site_fract_z
V1 0.250 0.122 0.878
V2 0.750 0.878 0.122
Ge1 0.157 0.619 0.779
Ge2 0.343 0.221 0.381
Ge3 0.843 0.381 0.221
Ge4 0.657 0.779 0.619
S1 0.355 0.710 0.537
S2 0.145 0.463 0.290
S3 0.645 0.290 0.463
S4 0.855 0.537 0.710
S5 0.853 0.886 0.379
S6 0.647 0.621 0.114
S7 0.147 0.114 0.621
S8 0.353 0.379 0.886
S9 0.106 0.824 0.970
S10 0.394 0.030 0.176
S11 0.894 0.176 0.030
S12 0.606 0.970 0.824
```

- Crystal system: monoclinic
- Total DFT energy (no corrections): -5.17 eV/atom

***

No. 2
## MnAsSe2N (PBE-GGA)

Data for a relaxed MnAsSe2N crystal.

Cell and atoms, written as CIF:
```
data_MnAsSe2N
_chemical_formula_sum 'Mn1 As1 Se2 N1'
_space_group_name_H-M_alt 'P 1'
_space_group_IT_number 1
_cell_length_a 5.155
_cell_length_b 5.155
_cell_length_c 3.638
_cell_angle_alpha 90.00
_cell_angle_beta 90.00
_cell_angle_gamma 90.00
loop_
_space_group_symop_operation_xyz
'x,y,z'
loop_
_atom_site_label
_atom_site_fract_x
_atom_site_fract_y
_atom_site_fract_z
As1 0.000 0.000 0.000
Mn1 0.500 0.500 0.500
Se1 0.000 0.500 0.000
Se2 0.500 0.000 0.000
N1 0.000 0.000 0.500
```

- Crystal system: tetragonal
- Excess energy over the best structure of this formula in the dataset: 486 meV/atom
- Total DFT energy (no corrections): -5.04 eV/atom

***

No. 3
## Rb3CdBr6 (PBE-GGA)

Data for a relaxed Rb3CdBr6 crystal.

Cell and atoms, written as CIF:
```
data_Rb3CdBr6
_chemical_formula_sum 'Rb3 Cd1 Br6'
_space_group_name_H-M_alt 'P 1'
_space_group_IT_number 1
_cell_length_a 8.456
_cell_length_b 8.456
_cell_length_c 8.456
_cell_angle_alpha 60.00
_cell_angle_beta 60.00
_cell_angle_gamma 90.00
loop_
_space_group_symop_operation_xyz
'x,y,z'
loop_
_atom_site_label
_atom_site_fract_x
_atom_site_fract_y
_atom_site_fract_z
Br1 0.230 0.230 0.539
Br2 0.770 0.770 0.461
Br3 0.230 0.230 0.000
Br4 0.770 0.770 0.000
Br5 0.770 0.230 0.000
Br6 0.230 0.770 0.000
Rb1 0.500 0.500 0.000
Rb2 0.750 0.250 0.500
Rb3 0.250 0.750 0.500
Cd1 0.000 0.000 0.000
```

- Crystal system: cubic
- Excess energy over the best structure of this formula in the dataset: 124 meV/atom
- Total DFT energy (no corrections): -2.55 eV/atom

***

Computed values of total moment (unit: μB per atom) for the preceding records, in sequence: 0.111; 0.970; 0.000.
Computed values of formation energy (no corrections) (unit: eV/atom) for the preceding records, in sequence: -0.37; 0.78; -1.16.